[1]
Entry from Alexandria via LeMat-Bulk: LaZr2Sc after structural relaxation (PBE-GGA).

It has space group R-3m (No. 166, hexagonal axes), with a = 3.3173 Å, b = 3.3173 Å, c = 32.4874 Å, α = 90.00°, β = 90.00° and γ = 120.00°. The distinct sites, in fractional coordinates, are La at (0.0000, 0.0000, 0.0000), Zr at (0.0000, 0.0000, 0.2464) and Sc at (0.0000, 0.0000, 0.5000).

The formation energy is 0.153 eV per atom. For the raw total energy, the calculation gives -6.936 eV per atom. The energy above the lowest structure with this stoichiometry comes out at 55 meV per atom.

[2]
Entry from Alexandria via LeMat-Bulk: ScTaSeN2 after structural relaxation (PBE-GGA).

It has space group P4/mmm (No. 123), with a = 4.018 Å, b = 4.018 Å, c = 5.184 Å, α = 90.00°, β = 90.00° and γ = 90.00°. The distinct sites, in fractional coordinates, are Sc at (0.000, 0.000, 0.000), Ta at (0.500, 0.500, 0.500), Se at (0.500, 0.500, 0.000) and N at (0.000, 0.500, 0.500).

Its formation energy without anion corrections is -0.4400 eV/atom. For the raw total energy, the calculation gives -8.104 eV per atom. The energy above the lowest structure with this stoichiometry comes out at 0 meV per atom.

[3]
Entry from Alexandria via LeMat-Bulk: Er5Te5Au after structural relaxation (PBE-GGA).

It has space group C2/m (No. 12), with a = 13.689 Å, b = 6.103 Å, c = 8.542 Å, α = 90.00°, β = 108.71° and γ = 90.00°. The distinct sites, in fractional coordinates, are Er at (0.000, 0.000, 0.000), Er at (0.157, 0.500, 0.321), Er at (0.157, 0.500, 0.840), Te at (0.000, 0.500, 0.500), Te at (0.166, 0.000, 0.828), Te at (0.178, 0.000, 0.335) and Au at (0.000, 0.500, 0.000).

Its formation energy without anion corrections is -1.2126 eV/atom. For the raw total energy, the calculation gives -5.013 eV per atom.

[4]
Entry from Alexandria via LeMat-Bulk: La5Nd6Y2 after structural relaxation (PBE-GGA).

It has space group Pbam (No. 55), with a = 11.942 Å, b = 21.190 Å, c = 3.688 Å, α = 90.00°, β = 90.00° and γ = 90.00°. The distinct sites, in fractional coordinates, are La at (0.000, 0.000, 0.000), La at (0.087, 0.272, 0.000), La at (0.198, 0.551, 0.000), Nd at (0.061, 0.418, 0.500), Nd at (0.084, 0.131, 0.500), Nd at (0.174, 0.861, 0.000) and Y at (0.169, 0.710, 0.500).

The formation energy is 0.080 eV per atom. For the raw total energy, the calculation gives -5.010 eV per atom.

[5]
Entry from Alexandria via LeMat-Bulk: ThSe6Cl12 after structural relaxation (PBE-GGA).

It has space group R-3 (No. 148, hexagonal axes), with a = 10.6588 Å, b = 10.6588 Å, c = 21.4871 Å, α = 90.00°, β = 90.00° and γ = 120.00°. The distinct sites, in fractional coordinates, are Th at (0.0000, 0.0000, 0.0000), Se at (0.0445, 0.1535, 0.6633), Cl at (0.0441, 0.7883, 0.2540) and Cl at (0.0478, 0.8160, 0.0695).

Its formation energy without anion corrections is -0.6310 eV/atom. For the raw total energy, the calculation gives -3.288 eV per atom.

[6]
Entry from Alexandria via LeMat-Bulk: BaCaHg2 after structural relaxation (PBE-GGA).

It has space group Imm2 (No. 44), with a = 3.939 Å, b = 5.666 Å, c = 11.690 Å, α = 90.00°, β = 90.00° and γ = 90.00°. The distinct sites, in fractional coordinates, are Ba at (0.000, 0.000, 0.000), Ca at (0.000, 0.500, 0.798), Hg at (0.000, 0.000, 0.536) and Hg at (0.000, 0.500, 0.247).

The formation energy is -0.372 eV per atom. For the raw total energy, the calculation gives -1.504 eV per atom.

[7]
Entry from Alexandria via LeMat-Bulk: Cu5W after structural relaxation (PBE-GGA).

It has space group Cm (No. 8), with a = 9.974 Å, b = 2.557 Å, c = 6.249 Å, α = 90.00°, β = 105.34° and γ = 90.00°. The distinct sites, in fractional coordinates, are Cu at (0.000, 0.000, 0.000), Cu at (0.052, 0.000, 0.621), Cu at (0.159, 0.500, 0.341), Cu at (0.215, 0.500, 0.940), Cu at (0.329, 0.000, 0.676) and W at (0.382, 0.000, 0.281).

The formation energy is 0.230 eV per atom. For the raw total energy, the calculation gives -5.342 eV per atom. The energy above the lowest structure with this stoichiometry comes out at 99 meV per atom.

[8]
Entry from Alexandria via LeMat-Bulk: SmHf2MnN4 after structural relaxation (PBE-GGA).

It has space group Cmcm (No. 63), with a = 3.231 Å, b = 10.999 Å, c = 11.006 Å, α = 90.00°, β = 90.00° and γ = 90.00°. The distinct sites, in fractional coordinates, are Sm at (0.000, 0.105, 0.250), Hf at (0.000, 0.368, 0.049), Mn at (0.000, 0.157, 0.750), N at (0.000, 0.000, 0.000), N at (0.000, 0.266, 0.616) and N at (0.000, 0.434, 0.250).

Its formation energy without anion corrections is -1.3493 eV/atom. For the raw total energy, the calculation gives -9.736 eV per atom.

[9]
Entry from Alexandria via LeMat-Bulk: Li2Cd5In2 after structural relaxation (PBE-GGA).

It has space group Ima2 (No. 46), with a = 14.102 Å, b = 11.248 Å, c = 5.130 Å, α = 90.00°, β = 90.00° and γ = 90.00°. The distinct sites, in fractional coordinates, are Li at (0.141, 0.048, 0.000), Cd at (0.044, 0.674, 0.635), Cd at (0.143, 0.190, 0.482), Cd at (0.250, 0.678, 0.466), In at (0.000, 0.000, 0.598) and In at (0.250, 0.546, 0.978).

The formation energy is -0.082 eV per atom. For the raw total energy, the calculation gives -1.625 eV per atom.

[10]
Entry from Alexandria via LeMat-Bulk: LaNpSb after structural relaxation (PBE-GGA).

It has space group Cm (No. 8), with a = 16.668 Å, b = 5.526 Å, c = 3.634 Å, α = 90.00°, β = 90.13° and γ = 90.00°. The distinct sites, in fractional coordinates, are La at (0.000, 0.000, 0.000), La at (0.167, 0.500, 0.993), Np at (0.242, 0.000, 0.495), Np at (0.337, 0.000, 0.996), Sb at (0.329, 0.500, 0.496) and Sb at (0.494, 0.000, 0.497).

Its formation energy without anion corrections is -0.4318 eV/atom. For the raw total energy, the calculation gives -7.762 eV per atom.

[11]
Entry from Alexandria via LeMat-Bulk: CsNaGaBi2 after structural relaxation (PBE-GGA).

It has space group I-4m2 (No. 119), with a = 5.360 Å, b = 5.360 Å, c = 12.678 Å, α = 90.00°, β = 90.00° and γ = 90.00°. The distinct sites, in fractional coordinates, are Cs at (0.000, 0.000, 0.000), Na at (0.000, 0.500, 0.250), Ga at (0.000, 0.500, 0.750) and Bi at (0.000, 0.000, 0.377).

The formation energy is -0.222 eV per atom. For the raw total energy, the calculation gives -2.814 eV per atom.

[12]
Entry from Alexandria via LeMat-Bulk: DyZrZn17 after structural relaxation (PBE-GGA).

It has space group R3m (No. 160, hexagonal axes), with a = 8.8899 Å, b = 8.8899 Å, c = 13.0534 Å, α = 90.00°, β = 90.00° and γ = 120.00°. The distinct sites, in fractional coordinates, are Dy at (0.0000, 0.0000, 0.0000), Zr at (0.0000, 0.0000, 0.6670), Zn at (0.0000, 0.0000, 0.2393), Zn at (0.0000, 0.0000, 0.4395), Zn at (0.0000, 0.5000, 0.1852), Zn at (0.0024, 0.3013, 0.3350), Zn at (0.0086, 0.5043, 0.8333) and Zn at (0.0228, 0.5114, 0.4872).

The formation energy is -0.179 eV per atom. For the raw total energy, the calculation gives -2.011 eV per atom.